1.
Here is a relaxed CdAg2 crystal from the Open Quantum Materials Database. Energies are from GGA-PBE.

The crystal system is trigonal. The calculation puts the formation energy at 0.026 eV per atom. As for the space group: R-3m (166).

Cell: 5.5326 5.5326 5.5312 Å, 119.75 119.75 60.23°
Fractional positions:
Cd: 0.6257 0.6257 0.8745
Cd: 0.3743 0.3743 0.1255
Ag: 0.5000 0.0000 0.5000
Ag: 0.0000 0.0000 0.5000
Ag: 0.0000 0.0000 0.0000
Ag: 0.0000 0.5000 0.5000


2.
Here is a relaxed CdAg10 crystal from the Open Quantum Materials Database. Energies are from GGA-PBE.

The crystal system is monoclinic. The calculation puts the formation energy at 0.061 eV per atom. As for the space group: C2/m (12).

Cell: 5.0691 5.0691 34.2035 Å, 90.26 90.26 48.18°
Fractional positions:
Ag: 0.7475 0.7475 0.2038
Cd: 0.1537 0.1537 0.7135
Ag: 0.3515 0.3515 0.1502
Ag: 0.8504 0.8504 0.0136
Ag: 0.1483 0.1483 0.2603
Ag: 0.9519 0.9519 0.0953
Ag: 0.5509 0.5509 0.0407
Ag: 0.2520 0.2520 0.0682
Ag: 0.1496 0.1496 0.9864
Ag: 0.9504 0.9504 0.8227
Ag: 0.6516 0.6516 0.1222
Ag: 0.8517 0.8517 0.7397
Cd: 0.8463 0.8463 0.2865
Ag: 0.7480 0.7480 0.9318
Ag: 0.5494 0.5494 0.7667
Ag: 0.0481 0.0481 0.9047
Ag: 0.2525 0.2525 0.7962
Ag: 0.0496 0.0496 0.1773
Ag: 0.6485 0.6485 0.8498
Ag: 0.4491 0.4491 0.9593
Ag: 0.4506 0.4506 0.2333
Ag: 0.3484 0.3484 0.8778


3.
Here is a relaxed CdAg5 crystal from the Open Quantum Materials Database. Energies are from GGA-PBE.

The crystal system is hexagonal. The calculation puts the formation energy at -0.041 eV per atom. As for the space group: P-62m (189).

Cell: 5.1213 5.1213 4.8433 Å, 90.00 90.00 120.00°
Fractional positions:
Ag: 0.3333 0.6667 0.0000
Ag: 0.6667 0.3333 0.0000
Cd: 0.0000 0.0000 0.0000
Ag: 0.6662 0.6662 0.5000
Ag: 0.3338 0.0000 0.5000
Ag: 0.0000 0.3338 0.5000


Number 1: final energy -6.5 eV/f.u.. Number 2: final energy -28.5 eV/f.u.. Number 3: final energy -15.3 eV/f.u..